DFT (PBE) results for a geometry-optimized TiTlC3 structure.

## Properties
excess energy over the best structure of this formula in the dataset = 6.90 eV per formula unit
uncorrected energy = -0.3217 Ry per atom

Unit cell a=4.2693 b=4.2693 c=4.2693 alpha=90.00 beta=90.00 gamma=90.00
Space group Pm-3m (No. 221)
Asymmetric unit:
Ti1 0.0000 0.0000 0.0000 (multiplicity 1)
Tl1 0.5000 0.5000 0.5000 (multiplicity 1)
C1 0.0000 0.5000 0.5000 (multiplicity 3)

DFT (PBE) results for a geometry-optimized Y2TiTlC structure.

## Properties
uncorrected energy = -0.5063 Ry per atom

Unit cell a=4.9522 b=4.9522 c=4.3094 alpha=90.00 beta=90.00 gamma=90.00
Space group P4/mmm (No. 123)
Asymmetric unit:
Y1 0.0000 0.5000 0.0000 (multiplicity 2)
Ti1 0.0000 0.0000 0.5000 (multiplicity 1)
Tl1 0.5000 0.5000 0.5000 (multiplicity 1)
C1 0.0000 0.0000 0.0000 (multiplicity 1)

DFT (PBE) results for a geometry-optimized TmTi2C structure.

## Properties
uncorrected energy = -0.5605 Ry per atom

Unit cell a=3.1350 b=3.1350 c=24.8854 alpha=90.00 beta=90.00 gamma=120.00
Space group R-3m (No. 166, hexagonal axes)
Asymmetric unit:
Tm1 0.0000 0.0000 0.0000 (multiplicity 3)
Ti1 0.0000 0.0000 0.1222 (multiplicity 6)
C1 0.0000 0.0000 0.5000 (multiplicity 3)

DFT (PBE) results for a geometry-optimized UTiC structure.

## Properties
uncorrected energy = -0.7116 Ry per atom

Unit cell a=3.0817 b=3.0817 c=5.6610 alpha=90.00 beta=90.00 gamma=120.00
Space group P3m1 (No. 156)
Asymmetric unit:
U1 0.0000 0.0000 0.0000 (multiplicity 1)
Ti1 0.3333 0.6667 0.4775 (multiplicity 1)
C1 0.6667 0.3333 0.2840 (multiplicity 1)

DFT (PBE) results for a geometry-optimized UTi5C6 structure.

## Properties
uncorrected energy = -0.6969 Ry per atom

Unit cell a=5.4813 b=9.4818 c=5.4744 alpha=90.00 beta=109.42 gamma=90.00
Space group C2/m (No. 12)
Asymmetric unit:
U1 0.0000 0.0000 0.0000 (multiplicity 2)
Ti1 0.0000 0.1694 0.5000 (multiplicity 4)
Ti2 0.0000 0.3341 0.0000 (multiplicity 4)
Ti3 0.0000 0.5000 0.5000 (multiplicity 2)
C1 0.2459 0.3314 0.7434 (multiplicity 8)
C2 0.2462 0.5000 0.2518 (multiplicity 4)

DFT (PBE) results for a geometry-optimized UTiC2 structure.

## Properties
excess energy over the best structure of this formula in the dataset = 0.00 eV per formula unit
uncorrected energy = -0.7226 Ry per atom

Unit cell a=3.2343 b=3.2343 c=16.5362 alpha=90.00 beta=90.00 gamma=120.00
Space group R-3m (No. 166, hexagonal axes)
Asymmetric unit:
U1 0.0000 0.0000 0.0000 (multiplicity 3)
Ti1 0.0000 0.0000 0.5000 (multiplicity 3)
C1 0.0000 0.0000 0.2416 (multiplicity 6)

DFT (PBE) results for a geometry-optimized UTiC2 structure.

## Properties
excess energy over the best structure of this formula in the dataset = 0.81 eV per formula unit
uncorrected energy = -0.7078 Ry per atom

Unit cell a=3.1973 b=3.1973 c=17.0255 alpha=90.00 beta=90.00 gamma=120.00
Space group R3m (No. 160, hexagonal axes)
Asymmetric unit:
U1 0.0000 0.0000 0.0000 (multiplicity 3)
Ti1 0.0000 0.0000 0.1734 (multiplicity 3)
C1 0.0000 0.0000 0.5769 (multiplicity 3)
C2 0.0000 0.0000 0.7584 (multiplicity 3)

DFT (PBE) results for a geometry-optimized UTi2WC4 structure.

## Properties
uncorrected energy = -0.7210 Ry per atom

Unit cell a=3.1812 b=11.3359 c=11.0452 alpha=90.00 beta=90.00 gamma=90.00
Space group Cmcm (No. 63)
Asymmetric unit:
U1 0.0000 0.1258 0.2500 (multiplicity 4)
Ti1 0.0000 0.3710 0.0326 (multiplicity 8)
W1 0.0000 0.1420 0.7500 (multiplicity 4)
C1 0.0000 0.0000 0.0000 (multiplicity 4)
C2 0.0000 0.2586 0.6143 (multiplicity 8)
C3 0.0000 0.4697 0.2500 (multiplicity 4)

DFT (PBE) results for a geometry-optimized UTiWC3 structure.

## Properties
uncorrected energy = -0.7602 Ry per atom

Unit cell a=5.4985 b=3.2050 c=8.3182 alpha=90.00 beta=102.42 gamma=90.00
Space group P2_1/m (No. 11)
Asymmetric unit:
U1 0.1470 0.2500 0.1997 (multiplicity 2)
Ti1 0.2744 0.7500 0.5522 (multiplicity 2)
W1 0.3738 0.2500 0.8627 (multiplicity 2)
C1 0.0587 0.2500 0.6625 (multiplicity 2)
C2 0.2410 0.7500 0.9892 (multiplicity 2)
C3 0.4552 0.7500 0.3435 (multiplicity 2)

DFT (PBE) results for a geometry-optimized ZrUTi2C4 structure.

## Properties
uncorrected energy = -0.7084 Ry per atom

Unit cell a=5.6399 b=3.2428 c=5.6853 alpha=90.00 beta=109.29 gamma=90.00
Space group P2/m (No. 10)
Asymmetric unit:
Zr1 0.0000 0.0000 0.0000 (multiplicity 1)
U1 0.0000 0.5000 0.5000 (multiplicity 1)
Ti1 0.5000 0.0000 0.5000 (multiplicity 1)
Ti2 0.5000 0.5000 0.0000 (multiplicity 1)
C1 0.2620 0.5000 0.2605 (multiplicity 2)
C2 0.2698 0.0000 0.7574 (multiplicity 2)

DFT (PBE) results for a geometry-optimized TiV8C2 structure.

## Properties
uncorrected energy = -0.6462 Ry per atom

Unit cell a=10.7085 b=6.6534 c=4.0949 alpha=90.00 beta=93.14 gamma=90.00
Space group C2/m (No. 12)
Asymmetric unit:
Ti1 0.0000 0.0000 0.0000 (multiplicity 2)
V1 0.1102 0.2795 0.6833 (multiplicity 8)
V2 0.1256 0.5000 0.1864 (multiplicity 4)
V3 0.2099 0.0000 0.2937 (multiplicity 4)
C1 0.1810 0.0000 0.7901 (multiplicity 4)

DFT (PBE) results for a geometry-optimized Ti3VC4 structure.

## Properties
excess energy over the best structure of this formula in the dataset = 0.09 eV per formula unit
uncorrected energy = -0.6923 Ry per atom

Unit cell a=4.2866 b=4.2866 c=8.5963 alpha=90.00 beta=90.00 gamma=90.00
Space group I4/mmm (No. 139)
Asymmetric unit:
Ti1 0.0000 0.0000 0.0000 (multiplicity 2)
Ti2 0.0000 0.5000 0.2500 (multiplicity 4)
V1 0.0000 0.0000 0.5000 (multiplicity 2)
C1 0.0000 0.0000 0.2517 (multiplicity 4)
C2 0.0000 0.5000 0.0000 (multiplicity 4)

DFT (PBE) results for a geometry-optimized TiV7C2 structure.

## Properties
uncorrected energy = -0.6586 Ry per atom

Unit cell a=6.3241 b=10.5426 c=4.0187 alpha=90.00 beta=90.00 gamma=90.00
Space group Cmmm (No. 65)
Asymmetric unit:
Ti1 0.0000 0.0000 0.0000 (multiplicity 2)
V1 0.0000 0.2749 0.0000 (multiplicity 4)
V2 0.0000 0.5000 0.5000 (multiplicity 2)
V3 0.1985 0.1348 0.5000 (multiplicity 8)
C1 0.0000 0.2965 0.5000 (multiplicity 4)